Entry 1:
NbPtSeBr2: relaxed, GGA-PBE. Values from VASP.

## Properties
The theoretical density is 6.7 g cm⁻³. Its symmetry is P4/mmm, No. 123. For the uncorrected formation energy, the calculation gives 0.47 eV/atom.

Cell and atoms, written as Quantum ESPRESSO input:
```
&SYSTEM
  ibrav = 0, nat = 5, ntyp = 4
/
ATOMIC_SPECIES
Nb 92.91 Nb.upf
Pt 195.08 Pt.upf
Se 78.96 Se.upf
Br 79.90 Br.upf
CELL_PARAMETERS angstrom
5.089 0.000 0.000
0.000 5.089 0.000
0.000 0.000 5.045
ATOMIC_POSITIONS crystal
Nb 0.000 0.000 0.000
Pt 0.500 0.500 0.500
Se 0.000 0.000 0.500
Br 0.000 0.500 0.000
Br 0.500 0.000 0.000
```

Entry 2:
NbPtSe2Br: relaxed, GGA-PBE. Values from VASP.

## Properties
The theoretical density is 6.9 g cm⁻³. Its symmetry is P4/mmm, No. 123. For the uncorrected formation energy, the calculation gives 0.47 eV/atom.

Cell and atoms, written as Quantum ESPRESSO input:
```
&SYSTEM
  ibrav = 0, nat = 5, ntyp = 4
/
ATOMIC_SPECIES
Nb 92.91 Nb.upf
Pt 195.08 Pt.upf
Se 78.96 Se.upf
Br 79.90 Br.upf
CELL_PARAMETERS angstrom
5.024 0.000 0.000
0.000 5.024 0.000
0.000 0.000 5.036
ATOMIC_POSITIONS crystal
Nb 0.000 0.000 0.000
Pt 0.500 0.500 0.500
Se 0.000 0.500 0.000
Se 0.500 0.000 0.000
Br 0.000 0.000 0.500
```

Entry 3:
NbSiPtBr2: relaxed, GGA-PBE. Values from VASP.

## Properties
The theoretical density is 6.2 g cm⁻³. Its symmetry is P4/mmm, No. 123. For the uncorrected formation energy, the calculation gives 0.82 eV/atom.

Cell and atoms, written as Quantum ESPRESSO input:
```
&SYSTEM
  ibrav = 0, nat = 5, ntyp = 4
/
ATOMIC_SPECIES
Nb 92.91 Nb.upf
Si 28.09 Si.upf
Pt 195.08 Pt.upf
Br 79.90 Br.upf
CELL_PARAMETERS angstrom
4.931 0.000 0.000
0.000 4.931 0.000
0.000 0.000 5.278
ATOMIC_POSITIONS crystal
Nb 0.000 0.000 0.000
Si 0.000 0.000 0.500
Pt 0.500 0.500 0.500
Br 0.000 0.500 0.000
Br 0.500 0.000 0.000
```

Entry 4:
NbSi2PtBr: relaxed, GGA-PBE. Values from VASP.

## Properties
The theoretical density is 6.7 g cm⁻³. Its symmetry is P4/mmm, No. 123. For the uncorrected formation energy, the calculation gives 1.51 eV/atom.

Cell and atoms, written as Quantum ESPRESSO input:
```
&SYSTEM
  ibrav = 0, nat = 5, ntyp = 4
/
ATOMIC_SPECIES
Nb 92.91 Nb.upf
Si 28.09 Si.upf
Pt 195.08 Pt.upf
Br 79.90 Br.upf
CELL_PARAMETERS angstrom
4.734 0.000 0.000
0.000 4.734 0.000
0.000 0.000 4.682
ATOMIC_POSITIONS crystal
Nb 0.000 0.000 0.000
Si 0.000 0.500 0.500
Si 0.500 0.000 0.500
Pt 0.500 0.500 0.000
Br 0.500 0.500 0.500
```

| no. | final energy (eV per cell) |
| --- | --- |
| 1 | -20.57 |
| 2 | -22.42 |
| 3 | -20.77 |
| 4 | -21.10 |